(1)
CeErSi4 after structural relaxation, computed with PBE-GGA.

## Properties
- energy (eV per atom) = -5.956
- uncorrected formation energy (eV per atom) = -0.591

a = 4.005 Å, b = 4.005 Å, c = 14.378 Å
α = 90.00°, β = 90.00°, γ = 90.00°
Space group I-4m2 (No. 119)
Symmetry-distinct sites (fractional):
Ce  0.000  0.000  0.000 [2 per cell]
Er  0.000  0.500  0.250 [2 per cell]
Si  0.000  0.000  0.416 [4 per cell]
Si  0.000  0.500  0.669 [4 per cell]



(2)
AcCdPt2 after structural relaxation, computed with PBE-GGA.

## Properties
- energy (eV per atom) = -4.907
- DFT formation energy (eV/atom) = -0.630

a = 3.614 Å, b = 3.614 Å, c = 6.858 Å
α = 90.00°, β = 90.00°, γ = 90.00°
Space group P4/mmm (No. 123)
Symmetry-distinct sites (fractional):
Ac  0.000  0.000  0.000 [1 per cell]
Cd  0.000  0.000  0.500 [1 per cell]
Pt  0.500  0.500  0.289 [2 per cell]



(3)
BaCo2Te after structural relaxation, computed with PBE-GGA.

## Properties
- energy (eV per atom) = -4.545
- uncorrected formation energy (eV per atom) = 0.274

a = 3.425 Å, b = 3.425 Å, c = 7.627 Å
α = 90.00°, β = 90.00°, γ = 90.00°
Space group P4mm (No. 99)
Symmetry-distinct sites (fractional):
Ba  0.000  0.000  0.000 [1 per cell]
Co  0.000  0.000  0.429 [1 per cell]
Co  0.500  0.500  0.311 [1 per cell]
Te  0.500  0.500  0.641 [1 per cell]



(4)
Pm6InO12 after structural relaxation, computed with PBE-GGA.

## Properties
- energy (eV per atom) = -7.585
- uncorrected formation energy (eV per atom) = -2.809

a = 10.2985 Å, b = 10.2985 Å, c = 9.6395 Å
α = 90.00°, β = 90.00°, γ = 120.00°
Space group R-3 (No. 148, hexagonal axes)
Symmetry-distinct sites (fractional):
Pm  0.0517  0.7907  0.1524 [18 per cell]
In  0.0000  0.0000  0.5000 [3 per cell]
O  0.0401  0.8166  0.9014 [18 per cell]
O  0.0458  0.8369  0.3952 [18 per cell]



(5)
Hf2ScZn9 after structural relaxation, computed with PBE-GGA.

## Properties
- energy (eV per atom) = -3.357
- DFT formation energy (eV/atom) = -0.215

a = 5.2277 Å, b = 5.2277 Å, c = 24.8478 Å
α = 90.00°, β = 90.00°, γ = 120.00°
Space group R-3m (No. 166, hexagonal axes)
Symmetry-distinct sites (fractional):
Hf  0.0000  0.0000  0.1431 [6 per cell]
Sc  0.0000  0.0000  0.0000 [3 per cell]
Zn  0.0000  0.0000  0.3351 [6 per cell]
Zn  0.0000  0.0000  0.5000 [3 per cell]
Zn  0.0077  0.5038  0.9150 [18 per cell]



(6)
AcErSbO5 after structural relaxation, computed with PBE-GGA.

## Properties
- energy (eV per atom) = -7.281
- uncorrected formation energy (eV per atom) = -2.583

a = 7.814 Å, b = 9.707 Å, c = 8.309 Å
α = 90.00°, β = 117.87°, γ = 90.00°
Space group C2/c (No. 15)
Symmetry-distinct sites (fractional):
Ac  0.000  0.185  0.250 [4 per cell]
Er  0.000  0.500  0.000 [4 per cell]
Sb  0.000  0.194  0.750 [4 per cell]
O  0.000  0.426  0.250 [4 per cell]
O  0.111  0.276  0.586 [8 per cell]
O  0.185  0.055  0.903 [8 per cell]



(7)
HOsBr2 after structural relaxation, computed with PBE-GGA.

## Properties
- ΔE to the lowest computed polymorph (kJ per mole of atoms) = 0.0
- energy (eV per atom) = -3.474

a = 5.383 Å, b = 5.383 Å, c = 10.194 Å
α = 90.00°, β = 90.00°, γ = 90.00°
Space group I-42d (No. 122)
Symmetry-distinct sites (fractional):
H  0.000  0.000  0.000 [4 per cell]
Os  0.000  0.000  0.500 [4 per cell]
Br  0.210  0.250  0.125 [8 per cell]



(8)
Ca2TlW after structural relaxation, computed with PBE-GGA.

## Properties
- ΔE to the lowest computed polymorph (kJ per mole of atoms) = 22.6
- energy (eV per atom) = -4.106
- DFT formation energy (eV/atom) = 0.725

a = 4.492 Å, b = 4.492 Å, c = 9.555 Å
α = 90.00°, β = 90.00°, γ = 90.00°
Space group I4/mmm (No. 139)
Symmetry-distinct sites (fractional):
Ca  0.000  0.500  0.250 [4 per cell]
Tl  0.000  0.000  0.000 [2 per cell]
W  0.000  0.000  0.500 [2 per cell]